Computed, not measured: a relaxed structure of TlCuPd3 at the PBEsol level of DFT.

The structure in POSCAR format:
```
TlCuPd3
1.0
-2.053 4.285 -1.327
-4.424 -1.693 1.378
0.741 1.763 4.548
Tl Pd Cu
1 3 1
Direct
0.000 0.000 0.000 Tl
0.500 0.000 0.000 Pd
0.000 0.500 0.000 Pd
0.000 0.000 0.500 Pd
0.500 0.500 0.500 Cu
```

## Properties
SG ... No. 221
Magnetization ... 0.00 μB/cell
Raw total energy ... -18.60 eV/cell
Mass density ... 8.121 Mg/m³

---

Computed, not measured: a relaxed structure of ZrTl2CuPd at the PBEsol level of DFT.

The structure in POSCAR format:
```
ZrTl2CuPd
1.0
-0.145 1.925 4.229
0.201 -4.349 1.987
4.779 0.245 0.052
Pd Tl Cu Zr
1 2 1 1
Direct
0.500 0.000 0.000 Pd
0.000 0.000 0.500 Tl
0.000 0.500 0.000 Tl
0.000 0.000 0.000 Cu
0.500 0.500 0.500 Zr
```

## Properties
SG ... No. 123
Magnetization ... 0.00 μB/cell
Raw total energy ... -22.39 eV/cell
Mass density ... 10.448 Mg/m³

---

Computed, not measured: a relaxed structure of Tm2CuPd at the PBEsol level of DFT.

The structure in POSCAR format:
```
Tm2CuPd
1.0
-0.906 0.573 -4.666
-2.783 -3.143 -2.301
-4.377 1.290 -1.447
Cu Tm Pd
1 2 1
Direct
0.500 0.500 0.500 Cu
0.250 0.250 0.250 Tm
0.750 0.750 0.750 Tm
0.000 0.000 0.000 Pd
```

## Properties
SG ... No. 225
Magnetization ... 0.00 μB/cell
Raw total energy ... -22.47 eV/cell
Mass density ... 10.870 Mg/m³

---

Computed, not measured: a relaxed structure of CuPdW3 at the PBEsol level of DFT.

The structure in POSCAR format:
```
CuPdW3
1.0
4.420 0.000 0.000
0.000 4.420 0.000
0.000 0.000 4.420
Cu W Pd
1 3 1
Direct
0.000 0.000 0.000 Cu
0.000 0.500 0.000 W
0.500 0.000 0.000 W
0.000 0.000 0.500 W
0.500 0.500 0.500 Pd
```

## Properties
SG ... No. 221
Magnetization ... 0.00 μB/cell
Raw total energy ... -42.41 eV/cell
Mass density ... 13.874 Mg/m³

---

Computed, not measured: a relaxed structure of YCu3Pd at the PBEsol level of DFT.

The structure in POSCAR format:
```
YCu3Pd
1.0
4.578 0.000 0.000
0.000 4.578 0.000
0.000 0.000 4.578
Y Cu Pd
1 3 1
Direct
0.500 0.500 0.500 Y
0.000 0.500 0.000 Cu
0.500 0.000 0.000 Cu
0.000 0.000 0.500 Cu
0.000 0.000 0.000 Pd
```

## Properties
SG ... No. 221
Magnetization ... 0.00 μB/cell
Raw total energy ... -24.02 eV/cell
Mass density ... 6.680 Mg/m³

---

Computed, not measured: a relaxed structure of Zn3CuPd at the PBEsol level of DFT.

The structure in POSCAR format:
```
Zn3CuPd
1.0
4.665 0.000 0.000
0.000 4.665 0.000
0.000 0.000 4.665
Zn Pd Cu
3 1 1
Direct
0.000 0.000 0.500 Zn
0.500 0.000 0.000 Zn
0.000 0.500 0.000 Zn
0.000 0.000 0.000 Pd
0.500 0.500 0.500 Cu
```

## Properties
SG ... No. 221
Magnetization ... 0.00 μB/cell
Raw total energy ... -12.40 eV/cell
Mass density ... 5.989 Mg/m³

---

Computed, not measured: a relaxed structure of PmCu3 at the PBEsol level of DFT.

The structure in POSCAR format:
```
PmCu3
1.0
-3.070 -2.489 1.546
3.142 -0.687 5.134
-3.962 4.551 -0.541
Pm Cu
2 6
Direct
0.250 0.667 0.333 Pm
0.750 0.333 0.667 Pm
0.750 0.865 0.730 Cu
0.250 0.135 0.270 Cu
0.250 0.135 0.865 Cu
0.750 0.865 0.135 Cu
0.750 0.270 0.135 Cu
0.250 0.730 0.865 Cu
```

## Properties
SG ... No. 194
Magnetization ... 0.00 μB/cell
Raw total energy ... -37.03 eV/cell
Mass density ... 8.265 Mg/m³

---

Computed, not measured: a relaxed structure of Pm2CuRh at the PBEsol level of DFT.

The structure in POSCAR format:
```
Pm2CuRh
1.0
4.916 0.000 0.000
2.458 4.257 0.000
2.458 1.419 4.014
Cu Rh Pm
1 1 2
Direct
0.500 0.500 0.500 Cu
0.000 0.000 0.000 Rh
0.250 0.250 0.250 Pm
0.750 0.750 0.750 Pm
```

## Properties
SG ... No. 225
Magnetization ... 0.00 μB/cell
Raw total energy ... -24.33 eV/cell
Mass density ... 9.023 Mg/m³

---

Computed, not measured: a relaxed structure of Pm2CuRu at the PBEsol level of DFT.

The structure in POSCAR format:
```
Pm2CuRu
1.0
4.895 0.000 0.000
2.448 4.239 0.000
2.448 1.413 3.997
Pm Cu Ru
2 1 1
Direct
0.750 0.750 0.750 Pm
0.250 0.250 0.250 Pm
0.500 0.500 0.500 Cu
0.000 0.000 0.000 Ru
```

## Properties
SG ... No. 225
Magnetization ... 0.00 μB/cell
Raw total energy ... -25.37 eV/cell
Mass density ... 9.101 Mg/m³

---

Computed, not measured: a relaxed structure of PmCu2Sn at the PBEsol level of DFT.

The structure in POSCAR format:
```
PmCu2Sn
1.0
4.682 0.000 0.000
2.341 4.055 0.000
2.341 1.352 3.823
Cu Sn Pm
2 1 1
Direct
0.250 0.250 0.250 Cu
0.750 0.750 0.750 Cu
0.000 0.000 0.000 Sn
0.500 0.500 0.500 Pm
```

## Properties
SG ... No. 225
Magnetization ... 0.00 μB/cell
Raw total energy ... -19.58 eV/cell
Mass density ... 8.940 Mg/m³

---

Computed, not measured: a relaxed structure of PmTmCu2 at the PBEsol level of DFT.

The structure in POSCAR format:
```
PmTmCu2
1.0
4.850 0.000 0.000
2.425 4.200 0.000
2.425 1.400 3.960
Cu Tm Pm
2 1 1
Direct
0.250 0.250 0.250 Cu
0.750 0.750 0.750 Cu
0.000 0.000 0.000 Tm
0.500 0.500 0.500 Pm
```

## Properties
SG ... No. 225
Magnetization ... 0.00 μB/cell
Raw total energy ... -19.48 eV/cell
Mass density ... 9.080 Mg/m³

---

Computed, not measured: a relaxed structure of PmYCu2 at the PBEsol level of DFT.

The structure in POSCAR format:
```
PmYCu2
1.0
-2.224 2.231 -3.743
0.427 -1.805 -4.527
-3.848 -2.106 -2.166
Y Cu Pm
1 2 1
Direct
0.000 0.000 0.000 Y
0.250 0.250 0.250 Cu
0.750 0.750 0.750 Cu
0.500 0.500 0.500 Pm
```

## Properties
SG ... No. 225
Magnetization ... 0.00 μB/cell
Raw total energy ... -21.33 eV/cell
Mass density ... 7.241 Mg/m³

---

Computed, not measured: a relaxed structure of PmZnCu2 at the PBEsol level of DFT.

The structure in POSCAR format:
```
PmZnCu2
1.0
4.564 0.000 0.000
2.282 3.953 0.000
2.282 1.318 3.726
Zn Pm Cu
1 1 2
Direct
0.000 0.000 0.000 Zn
0.500 0.500 0.500 Pm
0.250 0.250 0.250 Cu
0.750 0.750 0.750 Cu
```

## Properties
SG ... No. 225
Magnetization ... 0.00 μB/cell
Raw total energy ... -15.91 eV/cell
Mass density ... 8.337 Mg/m³

---

Computed, not measured: a relaxed structure of PrCu5 at the PBEsol level of DFT.

The structure in POSCAR format:
```
PrCu5
1.0
4.006 0.000 0.000
0.000 5.066 0.000
0.000 -2.533 4.387
Cu Pr
5 1
Direct
0.000 0.667 0.333 Cu
0.000 0.333 0.667 Cu
0.500 0.000 0.500 Cu
0.500 0.500 0.500 Cu
0.500 0.500 0.000 Cu
0.000 0.000 0.000 Pr
```

## Properties
SG ... No. 191
Magnetization ... 0.00 μB/cell
Raw total energy ... -27.69 eV/cell
Mass density ... 8.553 Mg/m³

---

Computed, not measured: a relaxed structure of PrCu at the PBEsol level of DFT.

The structure in POSCAR format:
```
PrCu
1.0
-3.283 -0.637 -2.984
0.260 -5.453 0.877
-4.989 0.624 5.355
Pr Cu
4 4
Direct
0.250 0.386 0.678 Pr
0.750 0.614 0.322 Pr
0.250 0.114 0.178 Pr
0.750 0.886 0.822 Pr
0.250 0.610 0.034 Cu
0.250 0.890 0.534 Cu
0.750 0.390 0.966 Cu
0.750 0.110 0.466 Cu
```

## Properties
SG ... No. 62
Magnetization ... 0.00 μB/cell
Raw total energy ... -39.19 eV/cell
Mass density ... 7.461 Mg/m³

---

Computed, not measured: a relaxed structure of PrCuS2 at the PBEsol level of DFT.

The structure in POSCAR format:
```
PrCuS2
1.0
-1.221 0.693 6.259
-0.237 -6.795 -0.201
7.017 -0.286 1.401
Pr Cu S
4 4 8
Direct
0.190 0.301 0.449 Pr
0.810 0.199 0.949 Pr
0.810 0.699 0.551 Pr
0.190 0.801 0.051 Pr
0.569 0.050 0.335 Cu
0.431 0.950 0.665 Cu
0.569 0.550 0.165 Cu
0.431 0.450 0.835 Cu
0.594 0.776 0.889 S
0.594 0.276 0.611 S
0.909 0.500 0.224 S
0.406 0.724 0.389 S
0.091 0.000 0.724 S
0.091 0.500 0.776 S
0.406 0.224 0.111 S
0.909 0.000 0.276 S
```

## Properties
SG ... No. 14
Magnetization ... 0.00 μB/cell
ΔE_f (raw) ... -1.426 eV per atom
Mass density ... 5.759 Mg/m³

---

Computed, not measured: a relaxed structure of Pr3CuSiS7 at the PBEsol level of DFT.

The structure in POSCAR format:
```
Pr3CuSiS7
1.0
5.719 0.000 0.000
0.000 10.122 0.000
0.000 -5.061 8.766
S Cu Pr Si
14 2 6 2
Direct
0.552 0.333 0.667 S
0.778 0.836 0.749 S
0.278 0.164 0.251 S
0.041 0.111 0.524 S
0.541 0.587 0.111 S
0.052 0.667 0.333 S
0.541 0.524 0.413 S
0.778 0.251 0.087 S
0.541 0.889 0.476 S
0.041 0.413 0.889 S
0.278 0.087 0.836 S
0.778 0.913 0.164 S
0.041 0.476 0.587 S
0.278 0.749 0.913 S
0.787 0.000 0.000 Cu
0.287 0.000 0.000 Cu
0.767 0.125 0.768 Pr
0.767 0.232 0.357 Pr
0.267 0.875 0.232 Pr
0.767 0.643 0.875 Pr
0.267 0.768 0.643 Pr
0.267 0.357 0.125 Pr
0.184 0.333 0.667 Si
0.684 0.667 0.333 Si
```

## Properties
SG ... No. 173
Magnetization ... 0.00 μB/cell
ΔE_f (raw) ... -1.604 eV per atom
Mass density ... 4.835 Mg/m³

---

Computed, not measured: a relaxed structure of PrCuSb2 at the PBEsol level of DFT.

The structure in POSCAR format:
```
PrCuSb2
1.0
4.315 0.000 0.000
0.000 4.315 0.000
0.000 0.000 10.058
Sb Cu Pr
4 2 2
Direct
0.500 0.500 0.000 Sb
0.000 0.000 0.000 Sb
0.000 0.500 0.349 Sb
0.500 0.000 0.651 Sb
0.000 0.000 0.500 Cu
0.500 0.500 0.500 Cu
0.000 0.500 0.749 Pr
0.500 0.000 0.251 Pr
```

## Properties
SG ... No. 129
Magnetization ... 0.00 μB/cell
ΔE_f (raw) ... -0.711 eV per atom
Mass density ... 7.945 Mg/m³

---

Computed, not measured: a relaxed structure of Pr3Cu3Sb4 at the PBEsol level of DFT.

The structure in POSCAR format:
```
Pr3Cu3Sb4
1.0
8.369 0.000 0.000
-2.790 7.890 0.000
-2.790 -3.945 6.833
Sb Pr Cu
8 6 6
Direct
0.500 0.661 0.500 Sb
0.500 0.161 0.500 Sb
0.839 0.839 0.339 Sb
0.661 0.000 0.000 Sb
0.161 0.000 0.000 Sb
0.000 0.500 0.161 Sb
0.000 0.500 0.661 Sb
0.339 0.339 0.839 Sb
0.125 0.250 0.375 Pr
0.875 0.125 0.750 Pr
0.625 0.375 0.250 Pr
0.250 0.875 0.625 Pr
0.750 0.625 0.875 Pr
0.375 0.750 0.125 Pr
0.875 0.750 0.625 Cu
0.125 0.875 0.250 Cu
0.250 0.375 0.125 Cu
0.625 0.250 0.875 Cu
0.750 0.125 0.375 Cu
0.375 0.625 0.750 Cu
```

## Properties
SG ... No. 220
Magnetization ... 0.00 μB/cell
ΔE_f (raw) ... -0.809 eV per atom
Mass density ... 8.100 Mg/m³

---

Computed, not measured: a relaxed structure of Pr5CuSe8 at the PBEsol level of DFT.

The structure in POSCAR format:
```
Pr5CuSe8
1.0
-0.164 -7.476 1.452
4.192 1.410 -6.202
7.034 -2.603 1.333
Se Pr Cu
8 5 1
Direct
0.371 0.345 0.894 Se
0.741 0.508 0.393 Se
0.762 0.027 0.345 Se
0.238 0.894 0.735 Se
0.629 0.735 0.027 Se
0.099 0.234 0.508 Se
0.901 0.393 0.866 Se
0.259 0.866 0.234 Se
0.875 0.758 0.620 Pr
0.622 0.117 0.758 Pr
0.378 0.620 0.505 Pr
0.500 0.250 0.250 Pr
0.125 0.505 0.117 Pr
0.000 0.000 0.000 Cu
```

## Properties
SG ... No. 82
Magnetization ... 0.00 μB/cell
ΔE_f (raw) ... -1.656 eV per atom
Mass density ... 6.837 Mg/m³